Density functional theory data (GGA-PBE) for a geometry-optimized NiI2N2 structure.

```
NiI2N2
1.0
-1.032 -3.875 1.047
3.939 -1.185 -0.504
1.103 1.246 5.695
N I Ni
2 2 1
direct
0.000 0.500 0.000
0.500 0.000 0.000
0.000 0.000 0.500
0.500 0.500 0.500
0.000 0.000 0.000
```

relative energy among the computed polymorphs	1.665	eV/atom
E_form (uncorrected)	1.6175	eV per atom



Density functional theory data (GGA-PBE) for a geometry-optimized Ho4CdGa12 structure.

```
Ho4CdGa12
1.0
-1.114 -0.638 7.463
3.446 -6.229 -2.580
4.339 6.047 -1.396
Ho Ga Cd
4 12 1
direct
0.500 0.500 0.500
0.000 0.500 0.000
0.500 0.000 0.000
0.000 0.000 0.500
0.250 0.750 0.500
0.688 0.688 0.000
0.312 0.000 0.312
0.250 0.500 0.750
0.000 0.312 0.312
0.750 0.500 0.250
0.312 0.312 0.000
0.500 0.750 0.250
0.500 0.250 0.750
0.688 0.000 0.688
0.000 0.688 0.688
0.750 0.250 0.500
0.000 0.000 0.000
```

VASP energy	-3.73	eV/atom



Density functional theory data (GGA-PBE) for a geometry-optimized Cr2SiSn2 structure.

```
Cr2SiSn2
1.0
-4.384 -1.887 -4.363
1.801 -6.152 0.851
-2.838 -0.412 3.030
Cr Si Sn
4 2 4
direct
0.655 0.155 0.000
0.345 0.845 0.000
0.845 0.655 0.000
0.155 0.345 0.000
0.500 0.500 0.000
0.000 0.000 0.000
0.660 0.840 0.500
0.340 0.160 0.500
0.840 0.340 0.500
0.160 0.660 0.500
```

E_form (uncorrected)	0.2453	eV per atom



Density functional theory data (GGA-PBE) for a geometry-optimized SiAg2Mo structure.

```
SiAg2Mo
1.0
2.793 0.000 0.000
0.000 2.793 0.000
0.000 0.000 8.350
Mo Si Ag
1 1 2
direct
0.000 0.000 0.522
0.500 0.500 0.733
0.000 0.000 0.986
0.500 0.500 0.259
```

E_form (uncorrected)	0.2291	eV per atom



Density functional theory data (GGA-PBE) for a geometry-optimized YTcSe2 structure.

```
YTcSe2
1.0
-0.508 0.001 5.045
-1.625 -3.010 3.743
4.170 -2.150 1.394
Tc Y Se
1 1 2
direct
0.487 0.487 0.621
0.254 0.254 0.193
0.993 0.993 0.018
0.766 0.766 0.668
```

relative energy among the computed polymorphs	0.200	eV/atom
E_form (uncorrected)	-0.6098	eV per atom



What did the second record say?
Density functional theory data (GGA-PBE) for a geometry-optimized Ho4CdGa12 structure.

```
Ho4CdGa12
1.0
-1.114 -0.638 7.463
3.446 -6.229 -2.580
4.339 6.047 -1.396
Ho Ga Cd
4 12 1
direct
0.500 0.500 0.500
0.000 0.500 0.000
0.500 0.000 0.000
0.000 0.000 0.500
0.250 0.750 0.500
0.688 0.688 0.000
0.312 0.000 0.312
0.250 0.500 0.750
0.000 0.312 0.312
0.750 0.500 0.250
0.312 0.312 0.000
0.500 0.750 0.250
0.500 0.250 0.750
0.688 0.000 0.688
0.000 0.688 0.688
0.750 0.250 0.500
0.000 0.000 0.000
```

VASP energy	-3.73	eV/atom